No. 1
Here is a relaxed structure of SrZnGe2As from Alexandria. Energies are from PBE.

Formation enthalpy at 0 K ... 29 kJ/mol of atoms
ρ ... 4.1 g cm⁻³
Size of the total moment ... 0.0 μB/cell

The structure in POSCAR format:
```
SrZnGe2As
1.0
5.095 0.000 0.000
0.000 5.095 0.000
0.000 0.000 5.830
Sr Zn Ge As
1 1 2 1
Cartesian
0.000 0.000 0.000
2.547 2.547 0.000
0.000 2.547 2.915
2.547 0.000 2.915
0.000 0.000 2.915
```


No. 2
Here is a relaxed structure of SrZn2GeAs from Alexandria. Energies are from PBE.

Formation enthalpy at 0 K ... 13 kJ/mol of atoms
ρ ... 4.4 g cm⁻³
Size of the total moment ... 0.0 μB/cell

The structure in POSCAR format:
```
SrZn2GeAs
1.0
4.841 0.000 0.000
0.000 4.841 0.000
0.000 0.000 5.879
Sr Zn Ge As
1 2 1 1
Cartesian
0.000 0.000 0.000
0.000 2.420 2.940
2.420 0.000 2.940
2.420 2.420 0.000
0.000 0.000 2.940
```


No. 3
Here is a relaxed structure of Ta2GeAs from Alexandria. Energies are from PBE.

Formation enthalpy at 0 K ... 72 kJ/mol of atoms
ρ ... 8.6 g cm⁻³
Size of the total moment ... 0.0 μB/cell

The structure in POSCAR format:
```
Ta2GeAs
1.0
-2.910 2.910 5.834
2.910 -2.910 5.834
2.910 2.910 -5.834
Ta Ge As
4 2 2
Cartesian
4.365 1.453 -1.458
1.453 1.455 1.458
-1.455 1.457 4.375
1.457 1.455 7.292
0.000 0.000 0.000
0.000 2.910 2.917
2.910 0.000 2.917
0.000 0.000 5.834
```


No. 4
Here is a relaxed structure of TaGeAs3 from Alexandria. Energies are from PBE.

Formation enthalpy at 0 K ... 45 kJ/mol of atoms
ρ ... 6.4 g cm⁻³
Size of the total moment ... 0.0 μB/cell

The structure in POSCAR format:
```
TaGeAs3
1.0
5.001 0.000 0.000
0.000 5.001 0.000
0.000 0.000 5.001
Ta Ge As
1 1 3
Cartesian
0.000 0.000 0.000
2.500 2.500 2.500
0.000 0.000 2.500
0.000 2.500 0.000
2.500 0.000 0.000
```


No. 5
Here is a relaxed structure of Ta2GeAs2 from Alexandria. Energies are from PBE.

Formation enthalpy at 0 K ... -19 kJ/mol of atoms
ρ ... 10.9 g cm⁻³
Size of the total moment ... 0.0 μB/cell

The structure in POSCAR format:
```
Ta2GeAs2
1.0
7.269 0.000 0.000
0.000 7.269 0.000
0.000 0.000 3.362
Ta Ge As
4 2 4
Cartesian
1.089 2.545 0.000
2.545 6.180 0.000
4.724 1.089 0.000
6.180 4.724 0.000
0.000 0.000 0.000
3.634 3.634 0.000
1.033 4.668 1.681
2.601 1.033 1.681
4.668 6.236 1.681
6.236 2.601 1.681
```


No. 6
Here is a relaxed structure of Ta2GeAs from Alexandria. Energies are from PBE.

Formation enthalpy at 0 K ... -10 kJ/mol of atoms
ρ ... 12.7 g cm⁻³
Size of the total moment ... 0.0 μB/cell

The structure in POSCAR format:
```
Ta2GeAs
1.0
0.000 3.220 3.220
3.220 0.000 3.220
3.220 3.220 0.000
Ta Ge As
2 1 1
Cartesian
1.610 1.610 1.610
4.830 4.830 4.830
0.000 0.000 0.000
3.220 3.220 3.220
```


No. 7
Here is a relaxed structure of TaGeAs3 from Alexandria. Energies are from PBE.

Formation enthalpy at 0 K ... 115 kJ/mol of atoms
ρ ... 7.3 g cm⁻³
Size of the total moment ... 0.0 μB/cell

The structure in POSCAR format:
```
TaGeAs3
1.0
4.781 0.000 0.000
0.000 4.781 0.000
0.000 0.000 4.781
Ta Ge As
1 1 3
Cartesian
0.000 0.000 0.000
2.391 2.391 2.391
0.000 2.391 2.391
2.391 0.000 2.391
2.391 2.391 0.000
```


No. 8
Here is a relaxed structure of Ta2GeAs from Alexandria. Energies are from PBE.

Formation enthalpy at 0 K ... 29 kJ/mol of atoms
ρ ... 11.0 g cm⁻³
Size of the total moment ... 0.0 μB/cell

The structure in POSCAR format:
```
Ta2GeAs
1.0
1.578 0.911 8.944
-1.578 0.911 8.944
0.000 -1.822 8.944
Ta Ge As
2 1 1
Cartesian
0.000 0.000 2.558
0.000 0.000 24.276
0.000 0.000 0.000
0.000 0.000 13.417
```